# 1
# Ce2Tc2Ge5 (PBE, optimized geometry)
data_Ce2Tc2Ge5
_space_group_name_H-M_alt 'P 1'
_space_group_IT_number 1
_cell_length_a 7.013
_cell_length_b 8.092
_cell_length_c 7.563
_cell_angle_alpha 122.34
_cell_angle_beta 90.00
_cell_angle_gamma 90.00
loop_
_space_group_symop_operation_xyz
'x,y,z'
loop_
_atom_site_label
_atom_site_type_symbol
_atom_site_fract_x
_atom_site_fract_y
_atom_site_fract_z
_atom_site_occupancy
Ge1 Ge 0.342 0.701 0.789 1
Ge2 Ge 0.658 0.087 0.789 1
Ge3 Ge 0.658 0.299 0.211 1
Ge4 Ge 0.842 0.799 0.211 1
Ge5 Ge 0.500 0.500 0.000 1
Ge6 Ge 0.158 0.413 0.211 1
Ge7 Ge 0.158 0.201 0.789 1
Ge8 Ge 0.000 0.000 0.000 1
Ge9 Ge 0.342 0.913 0.211 1
Ge10 Ge 0.842 0.587 0.789 1
Ce1 Ce 0.500 0.725 0.450 1
Ce2 Ce 0.500 0.275 0.550 1
Ce3 Ce 0.000 0.225 0.450 1
Ce4 Ce 0.000 0.775 0.550 1
Tc1 Tc 0.167 0.583 0.000 1
Tc2 Tc 0.833 0.417 0.000 1
Tc3 Tc 0.667 0.917 0.000 1
Tc4 Tc 0.333 0.083 0.000 1
# Formation enthalpy at 0 K (meV per atom): -283

=====

# 2
# Ce5TcGe (PBE, optimized geometry)
data_Ce5TcGe
_space_group_name_H-M_alt 'P 1'
_space_group_IT_number 1
_cell_length_a 6.158
_cell_length_b 6.158
_cell_length_c 9.467
_cell_angle_alpha 82.65
_cell_angle_beta 82.65
_cell_angle_gamma 88.64
loop_
_space_group_symop_operation_xyz
'x,y,z'
loop_
_atom_site_label
_atom_site_type_symbol
_atom_site_fract_x
_atom_site_fract_y
_atom_site_fract_z
_atom_site_occupancy
Ce1 Ce 0.797 0.566 0.462 1
Ce2 Ce 0.992 0.370 0.824 1
Ce3 Ce 0.842 0.158 0.250 1
Ce4 Ce 0.630 0.008 0.676 1
Ce5 Ce 0.008 0.630 0.176 1
Ce6 Ce 0.370 0.992 0.324 1
Ce7 Ce 0.158 0.842 0.750 1
Ce8 Ce 0.566 0.797 0.962 1
Ce9 Ce 0.203 0.434 0.538 1
Ce10 Ce 0.434 0.203 0.038 1
Ge1 Ge 0.517 0.483 0.750 1
Ge2 Ge 0.483 0.517 0.250 1
Tc1 Tc 0.000 0.000 0.500 1
Tc2 Tc 0.000 0.000 0.000 1
# Formation enthalpy at 0 K (meV per atom): -184

=====

# 3
# Ce6TcGe2 (PBE, optimized geometry)
data_Ce6TcGe2
_space_group_name_H-M_alt 'P 1'
_space_group_IT_number 1
_cell_length_a 4.002
_cell_length_b 8.024
_cell_length_c 8.024
_cell_angle_alpha 120.00
_cell_angle_beta 90.00
_cell_angle_gamma 90.00
loop_
_space_group_symop_operation_xyz
'x,y,z'
loop_
_atom_site_label
_atom_site_type_symbol
_atom_site_fract_x
_atom_site_fract_y
_atom_site_fract_z
_atom_site_occupancy
Ce1 Ce 0.500 0.418 0.418 1
Ce2 Ce 0.000 0.252 0.000 1
Ce3 Ce 0.500 0.582 0.000 1
Ce4 Ce 0.000 0.000 0.251 1
Ce5 Ce 0.500 0.000 0.582 1
Ce6 Ce 0.000 0.749 0.749 1
Ge1 Ge 0.000 0.667 0.333 1
Ge2 Ge 0.000 0.333 0.667 1
Tc1 Tc 0.500 0.000 0.000 1
# Formation enthalpy at 0 K (meV per atom): -407

=====

# 4
# CeTc6Ge6 (PBE, optimized geometry)
data_CeTc6Ge6
_space_group_name_H-M_alt 'P 1'
_space_group_IT_number 1
_cell_length_a 5.432
_cell_length_b 5.431
_cell_length_c 8.372
_cell_angle_alpha 90.00
_cell_angle_beta 90.00
_cell_angle_gamma 119.99
loop_
_space_group_symop_operation_xyz
'x,y,z'
loop_
_atom_site_label
_atom_site_type_symbol
_atom_site_fract_x
_atom_site_fract_y
_atom_site_fract_z
_atom_site_occupancy
Tc1 Tc 0.500 0.000 0.748 1
Tc2 Tc 0.500 0.500 0.748 1
Tc3 Tc 0.500 0.000 0.252 1
Tc4 Tc 0.500 0.500 0.252 1
Tc5 Tc 0.000 0.500 0.252 1
Tc6 Tc 0.000 0.500 0.748 1
Ge1 Ge 0.000 0.000 0.650 1
Ge2 Ge 0.333 0.667 0.000 1
Ge3 Ge 0.667 0.333 0.500 1
Ge4 Ge 0.333 0.667 0.500 1
Ge5 Ge 0.667 0.333 0.000 1
Ge6 Ge 0.000 0.000 0.350 1
Ce1 Ce 0.000 0.000 0.000 1
# Formation enthalpy at 0 K (meV per atom): -186

=====

# 5
# Ce4TcGe3 (PBE, optimized geometry)
data_Ce4TcGe3
_space_group_name_H-M_alt 'P 1'
_space_group_IT_number 1
_cell_length_a 4.352
_cell_length_b 4.163
_cell_length_c 10.498
_cell_angle_alpha 90.00
_cell_angle_beta 90.00
_cell_angle_gamma 90.00
loop_
_space_group_symop_operation_xyz
'x,y,z'
loop_
_atom_site_label
_atom_site_type_symbol
_atom_site_fract_x
_atom_site_fract_y
_atom_site_fract_z
_atom_site_occupancy
Tc1 Tc 0.500 0.500 0.109 1
Ce1 Ce 0.500 0.000 0.634 1
Ce2 Ce 0.000 0.000 0.134 1
Ce3 Ce 0.500 0.500 0.330 1
Ce4 Ce 0.000 0.500 0.870 1
Ge1 Ge 0.000 0.000 0.413 1
Ge2 Ge 0.000 0.500 0.581 1
Ge3 Ge 0.500 0.000 0.929 1
# Formation enthalpy at 0 K (meV per atom): -576

=====

# 6
# CeTc2Ge3 (PBE, optimized geometry)
data_CeTc2Ge3
_space_group_name_H-M_alt 'P 1'
_space_group_IT_number 1
_cell_length_a 6.042
_cell_length_b 6.042
_cell_length_c 7.711
_cell_angle_alpha 66.94
_cell_angle_beta 66.94
_cell_angle_gamma 60.00
loop_
_space_group_symop_operation_xyz
'x,y,z'
loop_
_atom_site_label
_atom_site_type_symbol
_atom_site_fract_x
_atom_site_fract_y
_atom_site_fract_z
_atom_site_occupancy
Ce1 Ce 0.217 0.217 0.348 1
Ce2 Ce 0.783 0.783 0.652 1
Ge1 Ge 0.261 0.261 0.723 1
Ge2 Ge 0.755 0.261 0.723 1
Ge3 Ge 0.739 0.739 0.277 1
Ge4 Ge 0.261 0.755 0.723 1
Ge5 Ge 0.739 0.245 0.277 1
Ge6 Ge 0.245 0.739 0.277 1
Tc1 Tc 0.000 0.500 0.000 1
Tc2 Tc 0.000 0.000 0.000 1
Tc3 Tc 0.500 0.000 0.000 1
Tc4 Tc 0.500 0.500 0.000 1
# Formation enthalpy at 0 K (meV per atom): -332
# Relative energy among the computed polymorphs (meV per atom): 3.0

=====

# 7
# Ce3Tc4Ge4 (PBE, optimized geometry)
data_Ce3Tc4Ge4
_space_group_name_H-M_alt 'P 1'
_space_group_IT_number 1
_cell_length_a 4.358
_cell_length_b 6.741
_cell_length_c 8.198
_cell_angle_alpha 114.28
_cell_angle_beta 105.42
_cell_angle_gamma 90.00
loop_
_space_group_symop_operation_xyz
'x,y,z'
loop_
_atom_site_label
_atom_site_type_symbol
_atom_site_fract_x
_atom_site_fract_y
_atom_site_fract_z
_atom_site_occupancy
Ce1 Ce 0.000 0.500 0.000 1
Ce2 Ce 0.865 0.865 0.730 1
Ce3 Ce 0.135 0.135 0.270 1
Ge1 Ge 0.500 0.807 0.000 1
Ge2 Ge 0.500 0.193 0.000 1
Ge3 Ge 0.208 0.708 0.417 1
Ge4 Ge 0.792 0.292 0.583 1
Tc1 Tc 0.326 0.524 0.652 1
Tc2 Tc 0.326 0.128 0.652 1
Tc3 Tc 0.674 0.872 0.348 1
Tc4 Tc 0.674 0.476 0.348 1
# Formation enthalpy at 0 K (meV per atom): -423
# Relative energy among the computed polymorphs (meV per atom): 0.0

=====

# 8
# Ce4Tc2Ge3 (PBE, optimized geometry)
data_Ce4Tc2Ge3
_space_group_name_H-M_alt 'P 1'
_space_group_IT_number 1
_cell_length_a 4.465
_cell_length_b 6.223
_cell_length_c 7.587
_cell_angle_alpha 100.17
_cell_angle_beta 107.11
_cell_angle_gamma 90.00
loop_
_space_group_symop_operation_xyz
'x,y,z'
loop_
_atom_site_label
_atom_site_type_symbol
_atom_site_fract_x
_atom_site_fract_y
_atom_site_fract_z
_atom_site_occupancy
Ce1 Ce 0.564 0.316 0.128 1
Ce2 Ce 0.217 0.196 0.434 1
Ce3 Ce 0.436 0.684 0.872 1
Ce4 Ce 0.783 0.804 0.566 1
Tc1 Tc 0.380 0.127 0.759 1
Tc2 Tc 0.620 0.873 0.241 1
Ge1 Ge 0.000 0.000 0.000 1
Ge2 Ge 0.123 0.658 0.245 1
Ge3 Ge 0.877 0.342 0.755 1
# Formation enthalpy at 0 K (meV per atom): -453

=====

# 9
# Ce5TcGe4 (PBE, optimized geometry)
data_Ce5TcGe4
_space_group_name_H-M_alt 'P 1'
_space_group_IT_number 1
_cell_length_a 5.927
_cell_length_b 7.255
_cell_length_c 7.255
_cell_angle_alpha 80.40
_cell_angle_beta 65.89
_cell_angle_gamma 65.89
loop_
_space_group_symop_operation_xyz
'x,y,z'
loop_
_atom_site_label
_atom_site_type_symbol
_atom_site_fract_x
_atom_site_fract_y
_atom_site_fract_z
_atom_site_occupancy
Tc1 Tc 0.041 0.000 0.000 1
Ce1 Ce 0.449 0.000 0.000 1
Ce2 Ce 0.285 0.813 0.624 1
Ce3 Ce 0.722 0.187 0.376 1
Ce4 Ce 0.909 0.376 0.813 1
Ce5 Ce 0.098 0.624 0.187 1
Ge1 Ge 0.196 0.213 0.399 1
Ge2 Ge 0.409 0.399 0.787 1
Ge3 Ge 0.595 0.601 0.213 1
Ge4 Ge 0.808 0.787 0.601 1
# Formation enthalpy at 0 K (meV per atom): -462

=====

# 10
# Ce5Tc2Ge4 (PBE, optimized geometry)
data_Ce5Tc2Ge4
_space_group_name_H-M_alt 'P 1'
_space_group_IT_number 1
_cell_length_a 4.620
_cell_length_b 7.242
_cell_length_c 7.923
_cell_angle_alpha 92.52
_cell_angle_beta 106.95
_cell_angle_gamma 90.00
loop_
_space_group_symop_operation_xyz
'x,y,z'
loop_
_atom_site_label
_atom_site_type_symbol
_atom_site_fract_x
_atom_site_fract_y
_atom_site_fract_z
_atom_site_occupancy
Ce1 Ce 0.211 0.856 0.421 1
Ce2 Ce 0.390 0.552 0.780 1
Ce3 Ce 0.500 0.000 0.000 1
Ce4 Ce 0.789 0.144 0.579 1
Ce5 Ce 0.610 0.448 0.220 1
Tc1 Tc 0.903 0.920 0.807 1
Tc2 Tc 0.097 0.080 0.193 1
Ge1 Ge 0.220 0.335 0.440 1
Ge2 Ge 0.029 0.688 0.059 1
Ge3 Ge 0.780 0.665 0.560 1
Ge4 Ge 0.971 0.312 0.941 1
# Formation enthalpy at 0 K (meV per atom): -439